[1]
A relaxed ScTlTc2O8 crystal. Source: the Alexandria database, functional PBE.

Unit cell a=5.8584 b=5.8584 c=7.6446 alpha=90.00 beta=90.00 gamma=120.00
Atoms (fractional coordinates):
O (0.6673, 0.8309, 0.6640)
O (0.1636, 0.3327, 0.6640)
O (0.1691, 0.8364, 0.6640)
O (0.3327, 0.1691, 0.3360)
O (0.8309, 0.1636, 0.3360)
O (0.8364, 0.6673, 0.3360)
O (0.3333, 0.6667, 0.9700)
O (0.6667, 0.3333, 0.0300)
Tc (0.3333, 0.6667, 0.7415)
Tc (0.6667, 0.3333, 0.2585)
Sc (0.0000, 0.0000, 0.5000)
Tl (0.0000, 0.0000, 0.0000)

Computed properties:
Formation energy from raw total energies, eV per atom: -1.727
SG: P-3, No. 147
Magnetic moment, μB/f.u.: 1.896


[2]
A relaxed TmScTcO6 crystal. Source: the Alexandria database, functional PBE.

Unit cell a=5.3432 b=5.3432 c=9.0162 alpha=90.00 beta=90.00 gamma=120.00
Atoms (fractional coordinates):
O (0.3579, 0.0409, 0.1294)
O (0.6830, 0.6421, 0.1294)
O (0.3579, 0.3170, 0.3706)
O (0.6421, 0.6830, 0.6294)
O (0.3170, 0.3579, 0.8706)
O (0.9591, 0.6421, 0.3706)
O (0.3170, 0.9591, 0.6294)
O (0.9591, 0.3170, 0.1294)
O (0.6830, 0.0409, 0.3706)
O (0.0409, 0.6830, 0.8706)
O (0.6421, 0.9591, 0.8706)
O (0.0409, 0.3579, 0.6294)
Tc (0.6667, 0.3333, 0.2500)
Tc (0.3333, 0.6667, 0.7500)
Tm (0.6667, 0.3333, 0.7500)
Tm (0.3333, 0.6667, 0.2500)
Sc (0.0000, 0.0000, 0.5000)
Sc (0.0000, 0.0000, 0.0000)

Computed properties:
Formation energy from raw total energies, eV per atom: -2.479
SG: P-31c, No. 163
Magnetic moment, μB/f.u.: 1.028


[3]
A relaxed TmSc2TcO8 crystal. Source: the Alexandria database, functional PBE.

Unit cell a=4.8637 b=4.8604 c=6.4248 alpha=90.00 beta=90.00 gamma=90.42
Atoms (fractional coordinates):
Tm (0.0000, 0.0000, 0.5000)
O (0.1900, 0.8092, 0.7865)
O (0.6865, 0.6874, 0.5000)
O (0.7195, 0.7203, 0.0000)
O (0.2805, 0.2797, 0.0000)
O (0.8100, 0.1908, 0.2135)
O (0.8101, 0.1908, 0.7865)
O (0.1900, 0.8092, 0.2135)
O (0.3135, 0.3126, 0.5000)
Tc (0.0000, 0.0000, 0.0000)
Sc (0.5000, 0.5000, 0.2574)
Sc (0.5000, 0.5000, 0.7426)

Computed properties:
Formation energy from raw total energies, eV per atom: -2.633
SG: Cmmm, No. 65
Magnetic moment, μB/f.u.: 0.000


[4]
A relaxed YScTcO6 crystal. Source: the Alexandria database, functional PBE.

Unit cell a=5.2758 b=5.2758 c=9.7277 alpha=90.00 beta=90.00 gamma=120.00
Atoms (fractional coordinates):
Y (0.0000, 0.0000, 0.5000)
Y (0.0000, 0.0000, 0.0000)
Sc (0.3333, 0.6667, 0.2500)
Sc (0.6667, 0.3333, 0.7500)
O (0.6586, 0.6341, 0.1387)
O (0.9755, 0.6341, 0.3613)
O (0.0245, 0.6586, 0.8613)
O (0.3659, 0.0245, 0.1387)
O (0.6586, 0.0245, 0.3613)
O (0.0245, 0.3659, 0.6387)
O (0.9755, 0.3414, 0.1387)
O (0.6341, 0.9755, 0.8613)
O (0.3414, 0.3659, 0.8613)
O (0.3659, 0.3414, 0.3613)
O (0.3414, 0.9755, 0.6387)
O (0.6341, 0.6586, 0.6387)
Tc (0.6667, 0.3333, 0.2500)
Tc (0.3333, 0.6667, 0.7500)

Computed properties:
Formation energy from raw total energies, eV per atom: -2.520
SG: P-31c, No. 163
Magnetic moment, μB/f.u.: 1.016